Mn2AlO4: relaxed, PBE+U.

Properties
As for the energy: -7.591 eV per atom. The calculation puts the total magnetization at 36.00 μB/cell.

Unit cell a=10.4353 b=6.2890 c=4.9700 alpha=90.00 beta=90.00 gamma=90.00
Space group Pnma (No. 62)
Asymmetric unit:
Mn1 0.0000 0.0000 0.0000 [4 per cell]
Mn2 0.2220 0.2500 0.4696 [4 per cell]
Al1 0.0893 0.7500 0.4213 [4 per cell]
O1 0.0643 0.2500 0.7543 [4 per cell]
O2 0.0937 0.7500 0.7691 [4 per cell]
O3 0.1495 0.5208 0.2472 [8 per cell]

---

Mn2AlO4: relaxed, PBE+U.

Properties
As for the energy: -7.540 eV per atom. Its density of states at the Fermi level is 32.03 states/eV/cell. The calculation puts the total magnetization at 72.00 μB/cell.

Unit cell a=8.5011 b=8.5011 c=8.5011 alpha=90.00 beta=90.00 gamma=90.00
Space group Fd-3m (No. 227, origin choice 2)
Asymmetric unit:
Mn1 0.0000 0.0000 0.0000 [16 per cell]
Al1 0.1250 0.1250 0.6250 [8 per cell]
O1 0.0010 0.0010 0.7490 [32 per cell]

---

Mn3AlO6: relaxed, PBE+U.

Properties
As for the energy: -7.398 eV per atom. Its density of states at the Fermi level is 3.80 states/eV/cell. The calculation puts the total magnetization at 24.00 μB/cell.

Unit cell a=5.1669 b=5.2501 c=8.7558 alpha=90.00 beta=124.31 gamma=90.00
Space group P2_1/c (No. 14)
Asymmetric unit:
Mn1 0.0000 0.0000 0.0000 [2 per cell]
Mn2 0.2345 0.0404 0.7347 [4 per cell]
Al1 0.5000 0.0000 0.5000 [2 per cell]
O1 0.1344 0.1745 0.4606 [4 per cell]
O2 0.2548 0.6825 0.4337 [4 per cell]
O3 0.3577 0.0530 0.2533 [4 per cell]

---

Mn2Al2O: relaxed, PBE+U.

Properties
As for the energy: -5.617 eV per atom. Its density of states at the Fermi level is 6.64 states/eV/cell. The calculation puts the total magnetization at 16.97 μB/cell.

Unit cell a=5.6998 b=5.6998 c=5.0149 alpha=90.00 beta=90.00 gamma=90.00
Space group P4/mbm (No. 127)
Asymmetric unit:
Mn1 0.1757 0.3243 0.0000 [4 per cell]
Al1 0.1609 0.6609 0.5000 [4 per cell]
O1 0.0000 0.0000 0.0000 [2 per cell]

---

MnAlO3: relaxed, PBE+U.

Properties
As for the energy: -7.048 eV per atom. Its density of states at the Fermi level is 2.00 states/eV/cell. The calculation puts the total magnetization at 4.00 μB/cell.

Unit cell a=3.6490 b=3.6490 c=3.6490 alpha=90.00 beta=90.00 gamma=90.00
Space group Pm-3m (No. 221)
Asymmetric unit:
Mn1 0.0000 0.0000 0.0000 [1 per cell]
Al1 0.5000 0.5000 0.5000 [1 per cell]
O1 0.0000 0.5000 0.5000 [3 per cell]

---

MnAlO3: relaxed, PBE+U.

Properties
As for the energy: -7.389 eV per atom. Its density of states at the Fermi level is 4.20 states/eV/cell. The calculation puts the total magnetization at 16.00 μB/cell.

Unit cell a=5.1237 b=7.5111 c=4.8496 alpha=90.00 beta=90.00 gamma=90.00
Space group Pnma (No. 62)
Asymmetric unit:
Mn1 0.0737 0.2500 0.0217 [4 per cell]
Al1 0.0000 0.0000 0.5000 [4 per cell]
O1 0.0641 0.7500 0.3566 [4 per cell]
O2 0.2049 0.5742 0.8001 [8 per cell]

---

Mn2AlO4: relaxed, PBE+U.

Properties
As for the energy: -7.202 eV per atom. Its density of states at the Fermi level is 1.49 states/eV/cell. The calculation puts the total magnetization at 28.00 μB/cell.

Unit cell a=5.2968 b=5.2968 c=10.2256 alpha=90.00 beta=90.00 gamma=90.00
Space group I4_1/a (No. 88, origin choice 2)
Asymmetric unit:
Mn1 0.0000 0.0000 0.0000 [8 per cell]
Al1 0.0000 0.2500 0.6250 [4 per cell]
O1 0.1871 0.0456 0.4072 [16 per cell]

---

MnAlO3: relaxed, PBE+U.

Properties
As for the energy: -7.341 eV per atom. The calculation puts the total magnetization at 48.00 μB/cell.

Unit cell a=10.7988 b=5.3278 c=10.6133 alpha=90.00 beta=90.00 gamma=90.00
Space group Cmc2_1 (No. 36)
Asymmetric unit:
Mn1 0.0000 0.1834 0.0000 [4 per cell]
Mn2 0.1654 0.3194 0.5252 [8 per cell]
Al1 0.0000 0.4692 0.2575 [4 per cell]
Al2 0.1542 0.0115 0.2779 [8 per cell]
O1 0.0000 0.1272 0.1760 [4 per cell]
O2 0.0000 0.2078 0.8221 [4 per cell]
O3 0.0000 0.4355 0.5845 [4 per cell]
O4 0.1218 0.3296 0.3518 [8 per cell]
O5 0.1713 0.0714 0.9672 [8 per cell]
O6 0.2160 0.2753 0.6956 [8 per cell]

---

MnAlO3: relaxed, PBE+U.

Properties
As for the energy: -7.391 eV per atom. The calculation puts the total magnetization at 8.00 μB/cell.

Unit cell a=3.0255 b=6.0152 c=6.2603 alpha=104.34 beta=90.16 gamma=104.45
Space group P-1 (No. 2)
Asymmetric unit:
Mn1 0.1188 0.2347 0.3825 [2 per cell]
Al1 0.3536 0.7077 0.1327 [2 per cell]
O1 0.1656 0.3294 0.0174 [2 per cell]
O2 0.3155 0.6340 0.4036 [2 per cell]
O3 0.4814 0.9656 0.7486 [2 per cell]

---

MnAl2O2: relaxed, PBE+U.

Properties
As for the energy: -6.243 eV per atom. Its density of states at the Fermi level is 2.08 states/eV/cell. The calculation puts the total magnetization at 9.44 μB/cell.

Unit cell a=6.1868 b=6.1868 c=3.5776 alpha=90.00 beta=90.00 gamma=90.00
Space group P4/mbm (No. 127)
Asymmetric unit:
Mn1 0.0000 0.0000 0.0000 [2 per cell]
Al1 0.1525 0.3475 0.5000 [4 per cell]
O1 0.1973 0.3027 0.0000 [4 per cell]

---

Mn2Al2O: relaxed, PBE+U.

Properties
As for the energy: -5.164 eV per atom. Its density of states at the Fermi level is 2.73 states/eV/cell. The calculation puts the total magnetization at 18.46 μB/cell.

Unit cell a=3.4370 b=3.4370 c=14.7515 alpha=90.00 beta=90.00 gamma=90.00
Space group I4/mmm (No. 139)
Asymmetric unit:
Mn1 0.0000 0.0000 0.0920 [4 per cell]
Al1 0.0000 0.5000 0.2500 [4 per cell]
O1 0.0000 0.0000 0.5000 [2 per cell]

---

Mn2AlO4: relaxed, PBE+U.

Properties
As for the energy: -6.889 eV per atom. Its density of states at the Fermi level is 4.18 states/eV/cell. The calculation puts the total magnetization at 6.00 μB/cell.

Unit cell a=10.5266 b=2.8977 c=5.0089 alpha=90.00 beta=117.92 gamma=90.00
Space group C2/m (No. 12)
Asymmetric unit:
Mn1 0.2189 0.0000 0.2052 [4 per cell]
Al1 0.0000 0.5000 0.5000 [2 per cell]
O1 0.1226 0.5000 0.9205 [4 per cell]
O2 0.1253 0.0000 0.4827 [4 per cell]

---

Mn2AlO: relaxed, PBE+U.

Properties
As for the energy: -5.586 eV per atom. Its density of states at the Fermi level is 12.20 states/eV/cell. The calculation puts the total magnetization at 31.93 μB/cell.

Unit cell a=6.2470 b=6.2470 c=6.2470 alpha=90.00 beta=90.00 gamma=90.00
Space group Fm-3m (No. 225)
Asymmetric unit:
Mn1 0.2500 0.2500 0.2500 [8 per cell]
Al1 0.0000 0.0000 0.0000 [4 per cell]
O1 0.0000 0.0000 0.5000 [4 per cell]

---

MnAlO3: relaxed, PBE+U.

Properties
As for the energy: -6.222 eV per atom. Its density of states at the Fermi level is 1.22 states/eV/cell. The calculation puts the total magnetization at 3.42 μB/cell.

Unit cell a=3.7304 b=3.7304 c=3.7304 alpha=90.00 beta=90.00 gamma=90.00
Space group Pm-3m (No. 221)
Asymmetric unit:
Mn1 0.0000 0.0000 0.0000 [1 per cell]
Al1 0.5000 0.5000 0.5000 [1 per cell]
O1 0.0000 0.0000 0.5000 [3 per cell]

---

MnAlO3: relaxed, PBE+U.

Properties
As for the energy: -7.465 eV per atom. The calculation puts the total magnetization at 8.00 μB/cell.

Unit cell a=4.8688 b=4.9932 c=5.2462 alpha=63.37 beta=89.17 gamma=62.35
Space group P-1 (No. 2)
Asymmetric unit:
Mn1 0.1458 0.2136 0.4402 [2 per cell]
Al1 0.3515 0.7993 0.0460 [2 per cell]
O1 0.0525 0.9969 0.2437 [2 per cell]
O2 0.2841 0.2665 0.7594 [2 per cell]
O3 0.4198 0.3482 0.2192 [2 per cell]

---

MnAlO3: relaxed, PBE+U.

Properties
As for the energy: -7.371 eV per atom. The calculation puts the total magnetization at 16.00 μB/cell.

Unit cell a=4.9685 b=8.3849 c=4.8655 alpha=90.00 beta=90.00 gamma=90.00
Space group Pnma (No. 62)
Asymmetric unit:
Mn1 0.0000 0.0000 0.0000 [4 per cell]
Al1 0.0134 0.2500 0.4823 [4 per cell]
O1 0.1740 0.0855 0.6599 [8 per cell]
O2 0.1744 0.2500 0.1500 [4 per cell]

---

Mn2AlO3: relaxed, PBE+U.

Properties
As for the energy: -7.399 eV per atom. Its density of states at the Fermi level is 4.85 states/eV/cell. The calculation puts the total magnetization at 37.37 μB/cell.

Unit cell a=10.1144 b=5.8963 c=5.5868 alpha=90.00 beta=114.91 gamma=90.00
Space group C2/c (No. 15)
Asymmetric unit:
Mn1 0.1642 0.0847 0.2102 [8 per cell]
Al1 0.0000 0.4266 0.7500 [4 per cell]
O1 0.0000 0.1163 0.7500 [4 per cell]
O2 0.1272 0.4401 0.1295 [8 per cell]

---

MnAl2O2: relaxed, PBE+U.

Properties
As for the energy: -5.892 eV per atom. Its density of states at the Fermi level is 3.94 states/eV/cell. The calculation puts the total magnetization at 8.67 μB/cell.

Unit cell a=3.9228 b=3.9228 c=9.3714 alpha=90.00 beta=90.00 gamma=90.00
Space group I4/mmm (No. 139)
Asymmetric unit:
Mn1 0.0000 0.0000 0.0000 [2 per cell]
Al1 0.0000 0.5000 0.2500 [4 per cell]
O1 0.0000 0.0000 0.2533 [4 per cell]

---

MnAlO2: relaxed, PBE+U.

Properties
As for the energy: -7.330 eV per atom. Its density of states at the Fermi level is 0.43 states/eV/cell. The calculation puts the total magnetization at 12.01 μB/cell.

Unit cell a=2.8841 b=2.8841 c=17.6778 alpha=90.00 beta=90.00 gamma=120.00
Space group R-3m (No. 166, hexagonal axes)
Asymmetric unit:
Mn1 0.0000 0.0000 0.0000 [3 per cell]
Al1 0.0000 0.0000 0.5000 [3 per cell]
O1 0.0000 0.0000 0.1121 [6 per cell]

---

MnAlO3: relaxed, PBE+U.

Properties
As for the energy: -6.609 eV per atom. The calculation puts the total magnetization at 9.99 μB/cell.

Unit cell a=4.6604 b=5.3579 c=6.1462 alpha=74.18 beta=76.95 gamma=79.37
Space group P-1 (No. 2)
Asymmetric unit:
Mn1 0.1459 0.0162 0.2387 [2 per cell]
Al1 0.2539 0.4132 0.5853 [2 per cell]
O1 0.0236 0.2854 0.4442 [2 per cell]
O2 0.1514 0.2279 0.8889 [2 per cell]
O3 0.3780 0.0385 0.7638 [2 per cell]